Entry 1:
VASP calculation (PBE-GGA) on a geometry-optimized TiPbO2 structure.

```
TiPbO2
1.0
-3.9317 4.1653 -0.8804
-0.2379 -1.4115 -5.6155
-5.3819 -1.5503 -2.3725
Pb O Ti
2 4 2
Direct
0.7500 0.2500 0.5000
0.0000 0.0000 0.0000
0.3750 0.6022 0.7500
0.8750 0.6478 0.7500
0.3522 0.6250 0.2500
0.3978 0.1250 0.2500
0.5000 0.5000 0.0000
0.2500 0.7500 0.5000
```

Volume, Å³ per atom: 18.87
Formation energy without anion corrections, eV per atom: -1.9181

Entry 2:
VASP calculation (PBE-GGA) on a geometry-optimized TiPbO structure.

```
TiPbO
1.0
3.3755 0.0000 0.0000
0.0000 5.3538 0.3082
0.0000 -0.8347 6.9177
Ti O Pb
2 2 2
Direct
0.7500 0.9207 0.3538
0.2500 0.0793 0.6462
0.7500 0.2044 0.5650
0.2500 0.7956 0.4350
0.2500 0.2472 0.0810
0.7500 0.7528 0.9190
```

Volume, Å³ per atom: 20.98
Formation energy without anion corrections, eV per atom: -1.3564

Entry 3:
VASP calculation (PBE-GGA) on a geometry-optimized TiPbO3 structure.

```
TiPbO3
1.0
21.0903 0.0000 -0.1503
0.0000 6.8908 0.0000
-7.2902 0.0000 2.2955
O Ti Pb
12 4 4
Direct
0.3094 0.9525 0.8686
0.6906 0.0475 0.1314
0.8094 0.5475 0.3686
0.0625 0.6393 0.5747
0.8466 0.2403 0.8372
0.4375 0.1393 0.9253
0.6534 0.7403 0.6628
0.9375 0.3607 0.4253
0.5625 0.8607 0.0747
0.1534 0.7597 0.1628
0.3466 0.2597 0.3372
0.1906 0.4525 0.6314
0.4175 0.8702 0.9205
0.0825 0.3702 0.5795
0.9175 0.6298 0.4205
0.5825 0.1298 0.0795
0.9837 0.7521 0.0519
0.4837 0.7479 0.5519
0.5163 0.2521 0.4481
0.0163 0.2479 0.9481
```

Volume, Å³ per atom: 16.30
Formation energy without anion corrections, eV per atom: -2.2289

Entry 4:
VASP calculation (PBE-GGA) on a geometry-optimized TiPb4O6 structure.

```
TiPb4O6
1.0
-4.0472 -3.5521 4.2114
-4.0074 -4.4662 -2.0698
6.0174 -10.8953 2.1415
Pb O Ti
8 12 2
Direct
0.7099 0.1120 0.1351
0.0430 0.6120 0.6351
0.8098 0.2308 0.4714
0.2303 0.6915 0.3077
0.7705 0.1915 0.8077
0.0913 0.3551 0.1661
0.3875 0.8551 0.6661
0.4881 0.7308 0.9714
0.4478 0.0321 0.2762
0.5974 0.0370 0.4870
0.1301 0.1225 0.8372
0.8785 0.5370 0.9870
0.9539 0.0828 0.2389
0.4271 0.5260 0.1465
0.9004 0.0260 0.6465
0.2439 0.5321 0.7762
0.3602 0.1491 0.9932
0.4975 0.6491 0.4932
0.9103 0.6225 0.3372
0.7244 0.5828 0.7389
0.1478 0.3472 0.8950
0.6100 0.8472 0.3950
```

Volume, Å³ per atom: 20.04
Formation energy without anion corrections, eV per atom: -1.6040

Entry 5:
VASP calculation (PBE-GGA) on a geometry-optimized TiPbO3 structure.

```
TiPbO3
1.0
-0.9267 -2.3511 3.3258
-2.4031 -2.4382 -2.3933
3.2885 -2.4443 -0.8117
O Pb Ti
3 1 1
Direct
0.0000 0.5000 0.0000
0.5000 0.0000 0.0000
0.0000 0.0000 0.5000
0.0000 0.0000 0.0000
0.5000 0.5000 0.5000
```

Volume, Å³ per atom: 14.58
Formation energy without anion corrections, eV per atom: -0.3360

Entry 6:
VASP calculation (PBE-GGA) on a geometry-optimized TiPbO4 structure.

```
TiPbO4
1.0
5.5470 0.0576 -1.7653
-2.9509 4.6974 -1.7653
-0.0315 -0.0576 5.8211
Ti O Pb
2 8 2
Direct
0.5041 0.0041 0.5000
0.7541 0.7541 0.0000
0.1725 0.9753 0.1972
0.7253 0.4225 0.6972
0.2736 0.5852 0.3116
0.7781 0.9753 0.8028
0.7120 0.5236 0.1884
0.3352 0.5236 0.8116
0.2736 0.9620 0.6884
0.7253 0.0281 0.3028
0.2481 0.2481 0.0000
0.9981 0.4981 0.5000
```

Volume, Å³ per atom: 12.63
Formation energy without anion corrections, eV per atom: -1.8477

Number 4 is which compound? TiPb4O6

Copy entry 5 word for word.
VASP calculation (PBE-GGA) on a geometry-optimized TiPbO3 structure.

```
TiPbO3
1.0
-0.9267 -2.3511 3.3258
-2.4031 -2.4382 -2.3933
3.2885 -2.4443 -0.8117
O Pb Ti
3 1 1
Direct
0.0000 0.5000 0.0000
0.5000 0.0000 0.0000
0.0000 0.0000 0.5000
0.0000 0.0000 0.0000
0.5000 0.5000 0.5000
```

Volume, Å³ per atom: 14.58
Formation energy without anion corrections, eV per atom: -0.3360

Among the records above, which one has the lowest volume? TiPbO4

The lowest volume belongs to which entry? TiPbO4